Entry 1:
Compound: VZn2SbN
Source: Alexandria via LeMat-Bulk
Functional: PBE-GGA
Structure: relaxed

Cell: 5.053 5.053 5.156 Å, 90.00 90.00 90.00°
Sites, in units of the cell vectors:
1 V 0.000 0.000 0.000
2 Zn 0.000 0.500 0.500
3 Zn 0.500 0.000 0.500
4 Sb 0.000 0.000 0.500
5 N 0.500 0.500 0.000

## Properties
ΔE_f (raw), kJ/mol of formula units: 965
Symmetry: P4/mmm (123)

---

Entry 2:
Compound: Pr5C2Cl9
Source: Alexandria via LeMat-Bulk
Functional: PBE-GGA
Structure: relaxed

Cell: 8.588 8.694 12.299 Å, 83.86 85.06 61.18°
Sites, in units of the cell vectors:
1 Pr 0.103 0.201 0.499
2 Pr 0.136 0.768 0.766
3 Pr 0.199 0.190 0.001
4 Pr 0.223 0.432 0.243
5 Pr 0.393 0.907 0.277
6 Pr 0.607 0.093 0.723
7 Pr 0.777 0.568 0.757
8 Pr 0.801 0.810 0.999
9 Pr 0.864 0.232 0.234
10 Pr 0.897 0.799 0.501
11 C 0.139 0.201 0.309
12 C 0.165 0.194 0.191
13 C 0.835 0.806 0.809
14 C 0.861 0.799 0.691
15 Cl 0.000 0.000 0.000
16 Cl 0.076 0.846 0.275
17 Cl 0.165 0.364 0.764
18 Cl 0.181 0.548 0.008
19 Cl 0.216 0.461 0.474
20 Cl 0.216 0.828 0.534
21 Cl 0.409 0.896 0.776
22 Cl 0.456 0.834 0.053
23 Cl 0.493 0.479 0.732
24 Cl 0.500 0.000 0.500
25 Cl 0.507 0.521 0.268
26 Cl 0.544 0.166 0.947
27 Cl 0.591 0.104 0.224
28 Cl 0.784 0.172 0.466
29 Cl 0.784 0.539 0.526
30 Cl 0.819 0.452 0.992
31 Cl 0.835 0.636 0.236
32 Cl 0.924 0.154 0.725

## Properties
ΔE_f (raw), kJ/mol of formula units: -2829
Symmetry: P-1 (2)

---

Entry 3:
Compound: Rb2GaBiI6
Source: Alexandria via LeMat-Bulk
Functional: PBE-GGA
Structure: relaxed

Cell: 8.778 8.778 8.778 Å, 59.65 59.65 59.65°
Sites, in units of the cell vectors:
1 Rb 0.000 0.000 0.000
2 Rb 0.495 0.495 0.495
3 Ga 0.222 0.222 0.222
4 Bi 0.719 0.719 0.719
5 I 0.039 0.471 0.890
6 I 0.395 0.956 0.551
7 I 0.471 0.890 0.039
8 I 0.551 0.395 0.956
9 I 0.890 0.039 0.471
10 I 0.956 0.551 0.395

## Properties
ΔE_f (raw), kJ/mol of formula units: -830
Symmetry: R3 (146)

---

Entry 4:
Compound: Mn3As2H
Source: Alexandria via LeMat-Bulk
Functional: PBE-GGA
Structure: relaxed

Cell: 6.509 3.441 13.246 Å, 90.00 90.00 90.00°
Sites, in units of the cell vectors:
1 Mn 0.007 0.250 0.105
2 Mn 0.144 0.250 0.577
3 Mn 0.210 0.750 0.268
4 Mn 0.290 0.250 0.768
5 Mn 0.356 0.750 0.077
6 Mn 0.493 0.750 0.605
7 Mn 0.507 0.250 0.395
8 Mn 0.644 0.250 0.923
9 Mn 0.710 0.750 0.232
10 Mn 0.790 0.250 0.732
11 Mn 0.856 0.750 0.423
12 Mn 0.993 0.750 0.895
13 As 0.055 0.750 0.704
14 As 0.239 0.750 0.453
15 As 0.261 0.250 0.953
16 As 0.445 0.250 0.204
17 As 0.555 0.750 0.796
18 As 0.739 0.750 0.047
19 As 0.761 0.250 0.547
20 As 0.945 0.250 0.296
21 H 0.124 0.750 0.139
22 H 0.376 0.250 0.639
23 H 0.624 0.750 0.361
24 H 0.876 0.250 0.861

## Properties
Raw total energy, eV/atom: -6.798
Symmetry: Pnma (62)

---

Entry 5:
Compound: NdMg2NpN4
Source: Alexandria via LeMat-Bulk
Functional: PBE-GGA
Structure: relaxed

Cell: 5.630 3.435 6.042 Å, 90.00 111.39 90.00°
Sites, in units of the cell vectors:
1 Nd 0.000 0.000 0.000
2 Mg 0.500 0.000 0.500
3 Mg 0.500 0.500 0.000
4 Np 0.000 0.500 0.500
5 N 0.233 0.500 0.289
6 N 0.255 0.000 0.741
7 N 0.745 0.000 0.259
8 N 0.767 0.500 0.711

## Properties
ΔE_f (raw), kJ/mol of formula units: -753
Symmetry: P2/m (10)

---

Entry 6:
Compound: Ti6CdPd2
Source: Alexandria via LeMat-Bulk
Functional: PBE-GGA
Structure: relaxed

Cell: 4.217 4.217 9.227 Å, 90.00 90.00 90.00°
Sites, in units of the cell vectors:
1 Ti 0.000 0.000 0.000
2 Ti 0.000 0.500 0.206
3 Ti 0.000 0.500 0.794
4 Ti 0.500 0.000 0.206
5 Ti 0.500 0.000 0.794
6 Ti 0.500 0.500 0.000
7 Cd 0.000 0.000 0.500
8 Pd 0.500 0.500 0.364
9 Pd 0.500 0.500 0.636

## Properties
Symmetry: P4/mmm (123)
ΔH_f (0 K), eV per atom: -0.166

---

Entry 7:
Compound: La4Tl3Pd
Source: Alexandria via LeMat-Bulk
Functional: PBE-GGA
Structure: relaxed

Cell: 3.736 3.736 17.020 Å, 90.00 90.00 90.00°
Sites, in units of the cell vectors:
1 La 0.000 0.000 0.104
2 La 0.000 0.000 0.368
3 La 0.000 0.000 0.632
4 La 0.000 0.000 0.896
5 Tl 0.500 0.500 0.237
6 Tl 0.500 0.500 0.500
7 Tl 0.500 0.500 0.763
8 Pd 0.500 0.500 0.000

## Properties
Symmetry: P4/mmm (123)
ΔH_f (0 K), eV per atom: -0.507

---

Entry 8:
Compound: YCoI2
Source: Alexandria via LeMat-Bulk
Functional: PBE-GGA
Structure: relaxed

Cell: 7.285 7.285 7.285 Å, 90.00 90.00 90.00°
Sites, in units of the cell vectors:
1 Y 0.000 0.000 0.000
2 Y 0.000 0.500 0.500
3 Y 0.500 0.000 0.500
4 Y 0.500 0.500 0.000
5 Co 0.000 0.000 0.500
6 Co 0.000 0.500 0.000
7 Co 0.500 0.000 0.000
8 Co 0.500 0.500 0.500
9 I 0.250 0.250 0.250
10 I 0.250 0.250 0.750
11 I 0.250 0.750 0.250
12 I 0.250 0.750 0.750
13 I 0.750 0.250 0.250
14 I 0.750 0.250 0.750
15 I 0.750 0.750 0.250
16 I 0.750 0.750 0.750

## Properties
ΔE_f (raw), kJ/mol of formula units: 43
Symmetry: Fm-3m (225)
Energy above the lowest structure with this stoichiometry, meV per atom: 112

---

Entry 9:
Compound: Tl2IrW
Source: Alexandria via LeMat-Bulk
Functional: PBE-GGA
Structure: relaxed

Cell: 4.364 4.364 3.990 Å, 90.00 90.00 90.00°
Sites, in units of the cell vectors:
1 Tl 0.000 0.500 0.000
2 Tl 0.500 0.000 0.000
3 Ir 0.000 0.000 0.500
4 W 0.500 0.500 0.500

## Properties
Symmetry: P4/mmm (123)
Energy above the lowest structure with this stoichiometry, meV per atom: 669
ΔH_f (0 K), eV per atom: 1.042

---

Entry 10:
Compound: Na2Ga2AgPd5
Source: Alexandria via LeMat-Bulk
Functional: PBE-GGA
Structure: relaxed

Cell: 9.784 9.784 3.656 Å, 90.00 90.00 90.00°
Sites, in units of the cell vectors:
1 Na 0.172 0.328 0.000
2 Na 0.328 0.828 0.000
3 Na 0.672 0.172 0.000
4 Na 0.828 0.672 0.000
5 Ga 0.129 0.629 0.000
6 Ga 0.371 0.129 0.000
7 Ga 0.629 0.871 0.000
8 Ga 0.871 0.371 0.000
9 Ag 0.000 0.000 0.000
10 Ag 0.500 0.500 0.000
11 Pd 0.000 0.500 0.500
12 Pd 0.069 0.794 0.500
13 Pd 0.206 0.069 0.500
14 Pd 0.294 0.569 0.500
15 Pd 0.431 0.294 0.500
16 Pd 0.500 0.000 0.500
17 Pd 0.569 0.706 0.500
18 Pd 0.706 0.431 0.500
19 Pd 0.794 0.931 0.500
20 Pd 0.931 0.206 0.500

## Properties
Symmetry: P4/mbm (127)
ΔH_f (0 K), eV per atom: -0.362

---

Entry 11:
Compound: BaAs2Pd2
Source: Alexandria via LeMat-Bulk
Functional: PBE-GGA
Structure: relaxed

Cell: 4.428 4.428 5.772 Å, 90.00 90.00 90.00°
Sites, in units of the cell vectors:
1 Ba 0.000 0.000 0.000
2 As 0.500 0.500 0.268
3 As 0.500 0.500 0.732
4 Pd 0.000 0.500 0.500
5 Pd 0.500 0.000 0.500

## Properties
Symmetry: P4/mmm (123)
ΔH_f (0 K), eV per atom: -0.760

---

Entry 12:
Compound: Tl2Pd3Au3
Source: Alexandria via LeMat-Bulk
Functional: PBE-GGA
Structure: relaxed

Cell: 4.240 4.268 8.081 Å, 90.00 90.00 90.00°
Sites, in units of the cell vectors:
1 Tl 0.000 0.000 0.241
2 Tl 0.000 0.000 0.759
3 Pd 0.000 0.500 0.000
4 Pd 0.500 0.000 0.000
5 Pd 0.500 0.000 0.500
6 Au 0.000 0.500 0.500
7 Au 0.500 0.500 0.246
8 Au 0.500 0.500 0.754

## Properties
Symmetry: Pmmm (47)
ΔH_f (0 K), eV per atom: -0.116